# 1
BeCuPb2N | the Alexandria database | PBE | optimized geometry; offset from the most stable computed form = 0 meV per atom; space group = No. 123; ΔE_f (raw) = 0.86 eV/atom
1.0
5.520 0.000 0.000
0.000 5.520 0.000
0.000 0.000 3.439
Be Cu Pb N
1 1 2 1
direct
0.000 0.000 0.000
0.500 0.500 0.500
0.000 0.500 0.500
0.500 0.000 0.500
0.500 0.500 0.000

---

# 2
PmBeCuN | the Alexandria database | PBE | optimized geometry; space group = No. 129; ΔE_f (raw) = -0.80 eV/atom
1.0
3.628 0.000 0.000
0.000 3.628 0.000
0.000 0.000 8.420
Pm Be Cu N
2 2 2 2
direct
0.250 0.250 0.151
0.750 0.750 0.849
0.250 0.250 0.676
0.750 0.750 0.324
0.250 0.750 0.500
0.750 0.250 0.500
0.250 0.250 0.864
0.750 0.750 0.136

---

# 3
BeCuSb2N | the Alexandria database | PBE | optimized geometry; space group = No. 123; ΔE_f (raw) = 1.38 eV/atom
1.0
4.911 0.000 0.000
0.000 4.911 0.000
0.000 0.000 3.964
Be Cu Sb N
1 1 2 1
direct
0.000 0.000 0.000
0.000 0.000 0.500
0.000 0.500 0.500
0.500 0.000 0.500
0.500 0.500 0.000

---

# 4
Sc2BeCuN | the Alexandria database | PBE | optimized geometry; space group = No. 123; ΔE_f (raw) = -0.72 eV/atom
1.0
4.531 0.000 0.000
0.000 4.531 0.000
0.000 0.000 3.316
Sc Be Cu N
2 1 1 1
direct
0.000 0.500 0.000
0.500 0.000 0.000
0.000 0.000 0.500
0.500 0.500 0.500
0.000 0.000 0.000

---

# 5
Be2CuSeN | the Alexandria database | PBE | optimized geometry; space group = No. 123; ΔE_f (raw) = 1.57 eV/atom
1.0
4.115 0.000 0.000
0.000 4.115 0.000
0.000 0.000 4.412
Be Cu Se N
2 1 1 1
direct
0.000 0.500 0.000
0.500 0.000 0.000
0.000 0.000 0.500
0.000 0.000 0.000
0.500 0.500 0.500

---

# 6
SmBeCuN | the Alexandria database | PBE | optimized geometry; space group = No. 129; ΔE_f (raw) = -0.82 eV/atom
1.0
3.604 0.000 0.000
0.000 3.604 0.000
0.000 0.000 8.419
Sm Be Cu N
2 2 2 2
direct
0.250 0.250 0.150
0.750 0.750 0.850
0.250 0.250 0.677
0.750 0.750 0.323
0.250 0.750 0.500
0.750 0.250 0.500
0.250 0.250 0.865
0.750 0.750 0.135

---

# 7
BeCuSnN2 | the Alexandria database | PBE | optimized geometry; space group = No. 123; ΔE_f (raw) = 1.18 eV/atom
1.0
3.502 0.000 0.000
0.000 3.502 0.000
0.000 0.000 5.563
Be Cu Sn N
1 1 1 2
direct
0.000 0.000 0.000
0.500 0.500 0.500
0.000 0.000 0.500
0.000 0.500 0.000
0.500 0.000 0.000

---

# 8
SrBeCu2N | the Alexandria database | PBE | optimized geometry; space group = No. 123; ΔE_f (raw) = 0.86 eV/atom
1.0
3.947 0.000 0.000
0.000 3.947 0.000
0.000 0.000 5.875
Sr Be Cu N
1 1 2 1
direct
0.000 0.000 0.000
0.000 0.000 0.500
0.000 0.500 0.500
0.500 0.000 0.500
0.500 0.500 0.000